No. 1
The following is a PBE calculation of an optimized crystal structure of Yb5Ge10Ir4, from Alexandria.

* SG: No. 127

Lattice parameters (Å, degrees): 13.0249 13.0249 4.3938 90.00 90.00 90.00
With the nearest neighbours (Å) after each atom.
Fractional coordinates of all 38 atoms:
Ge (0.5677, 0.0677, 0.0000)  1 Ge 2.49, 2 Ir 2.51
Ge (0.4323, 0.9323, 0.0000)  1 Ge 2.49, 2 Ir 2.51
Ge (0.0677, 0.4323, 0.0000)  1 Ge 2.49, 2 Ir 2.51
Ge (0.9323, 0.5677, 0.0000)  1 Ge 2.49, 2 Ir 2.51
Ge (0.6640, 0.6984, 0.0000)  2 Ir 2.46-2.57, 1 Ge 2.53
Ge (0.3360, 0.3016, 0.0000)  2 Ir 2.46-2.57, 1 Ge 2.53
Ge (0.1640, 0.8016, 0.0000)  2 Ir 2.46-2.57, 1 Ge 2.53
Ge (0.8360, 0.1984, 0.0000)  2 Ir 2.46-2.57, 1 Ge 2.53
Ge (0.3016, 0.6640, 0.0000)  2 Ir 2.46-2.57, 1 Ge 2.53
Ge (0.6984, 0.3360, 0.0000)  2 Ir 2.46-2.57, 1 Ge 2.53
Ge (0.1984, 0.1640, 0.0000)  2 Ir 2.46-2.57, 1 Ge 2.53
Ge (0.8016, 0.8360, 0.0000)  2 Ir 2.46-2.57, 1 Ge 2.53
Ge (0.6566, 0.5054, 0.5000)  2 Ir 2.49
Ge (0.3434, 0.4946, 0.5000)  2 Ir 2.49
Ge (0.1566, 0.9946, 0.5000)  2 Ir 2.49
Ge (0.8434, 0.0054, 0.5000)  2 Ir 2.49
Ge (0.4946, 0.6566, 0.5000)  2 Ir 2.49
Ge (0.5054, 0.3434, 0.5000)  2 Ir 2.49
Ge (0.0054, 0.1566, 0.5000)  2 Ir 2.49
Ge (0.9946, 0.8434, 0.5000)  2 Ir 2.49
Yb (0.5000, 0.5000, 0.0000)  12 Ge 3.00-3.35, 4 Ir 3.21
Yb (0.0000, 0.0000, 0.0000)  12 Ge 3.00-3.35, 4 Ir 3.21
Yb (0.6731, 0.1731, 0.5000)  8 Ge 2.93-3.11, 4 Ir 3.16
Yb (0.3269, 0.8269, 0.5000)  8 Ge 2.93-3.11, 4 Ir 3.16
Yb (0.1731, 0.3269, 0.5000)  8 Ge 2.93-3.11, 4 Ir 3.16
Yb (0.8269, 0.6731, 0.5000)  8 Ge 2.93-3.11, 4 Ir 3.16
Yb (0.8850, 0.3850, 0.5000)  10 Ge 3.30-3.36, 4 Ir 3.34
Yb (0.1150, 0.6150, 0.5000)  10 Ge 3.30-3.36, 4 Ir 3.34
Yb (0.3850, 0.1150, 0.5000)  10 Ge 3.30-3.36, 4 Ir 3.34
Yb (0.6150, 0.8850, 0.5000)  10 Ge 3.30-3.36, 4 Ir 3.34
Ir (0.7457, 0.5192, 0.0000)  5 Ge 2.46-2.57
Ir (0.2543, 0.4808, 0.0000)  5 Ge 2.46-2.57
Ir (0.2457, 0.9808, 0.0000)  5 Ge 2.46-2.57
Ir (0.7543, 0.0192, 0.0000)  5 Ge 2.46-2.57
Ir (0.4808, 0.7457, 0.0000)  5 Ge 2.46-2.57
Ir (0.5192, 0.2543, 0.0000)  5 Ge 2.46-2.57
Ir (0.0192, 0.2457, 0.0000)  5 Ge 2.46-2.57
Ir (0.9808, 0.7543, 0.0000)  5 Ge 2.46-2.57



No. 2
The following is a PBE calculation of an optimized crystal structure of ZnGeIr2, from Alexandria.

* SG: No. 123

Lattice parameters (Å, degrees): 3.0094 3.0094 6.3318 90.00 90.00 90.00
With the nearest neighbours (Å) after each atom.
Fractional coordinates of all 4 atoms:
Ge (0.5000, 0.5000, 0.0000)  8 Ir 2.62
Ir (0.0000, 0.0000, 0.7585)  4 Ge 2.62, 4 Zn 2.68
Ir (0.0000, 0.0000, 0.2415)  4 Ge 2.62, 4 Zn 2.68
Zn (0.5000, 0.5000, 0.5000)  8 Ir 2.68



No. 3
The following is a PBE calculation of an optimized crystal structure of ZnGeIr, from Alexandria.

* SG: No. 187

Lattice parameters (Å, degrees): 2.9744 4.2608 4.2608 120.00 90.00 90.00
With the nearest neighbours (Å) after each atom.
Fractional coordinates of all 3 atoms:
Ge (0.4997, 0.6667, 0.3333)  3 Ir 2.46
Ir (0.5001, 0.3333, 0.6667)  3 Ge 2.46
Zn (0.0001, 0.0000, 0.0000)  6 Ge 2.87-2.88, 6 Ir 2.87, 2 Zn 2.97



No. 4
The following is a PBE calculation of an optimized crystal structure of ZnGeIr2, from Alexandria.

* SG: No. 71

Lattice parameters (Å, degrees): 5.9862 5.9862 5.9862 52.26 153.75 135.66
With the nearest neighbours (Å) after each atom.
Fractional coordinates of all 4 atoms:
Zn (0.0000, 0.0000, 0.0000)  4 Ge 2.64, 2 Zn 2.72, 2 Ir 2.91
Ge (0.0000, 0.5000, 0.5000)  2 Ir 2.46, 4 Zn 2.64, 2 Ge 2.72
Ir (0.0000, 0.2707, 0.2707)  1 Ge 2.46, 6 Ir 2.67-2.72
Ir (0.0000, 0.7293, 0.7293)  1 Ge 2.46, 6 Ir 2.67-2.72



No. 5
The following is a PBE calculation of an optimized crystal structure of ZnGe2Ir2, from Alexandria.

* SG: No. 139
* distance to the lowest polymorph of the same formula: 106 meV/atom

Lattice parameters (Å, degrees): 3.7873 3.7873 6.4299 72.87 72.87 90.00
With the nearest neighbours (Å) after each atom.
Fractional coordinates of all 5 atoms:
Ge (0.7500, 0.2500, 0.5000)  4 Ir 2.49, 4 Ge 2.68
Ge (0.2500, 0.7500, 0.5000)  4 Ir 2.49, 4 Ge 2.68
Ir (0.3879, 0.3879, 0.2242)  4 Ge 2.49, 1 Ir 2.62
Ir (0.6121, 0.6121, 0.7758)  4 Ge 2.49, 1 Ir 2.62
Zn (0.0000, 0.0000, 0.0000)  8 Ir 2.98



No. 6
The following is a PBE calculation of an optimized crystal structure of ZnGeIr, from Alexandria.

* SG: No. 107

Lattice parameters (Å, degrees): 3.3020 3.3020 4.6910 110.61 110.61 90.00
With the nearest neighbours (Å) after each atom.
Fractional coordinates of all 3 atoms:
Ge (0.2907, 0.2907, 0.5814)  5 Zn 2.64-2.74, 5 Ir 2.65-2.82
Ir (0.9443, 0.9443, 0.8886)  5 Ge 2.65-2.82, 5 Zn 2.68-2.72
Zn (0.6150, 0.6150, 0.2300)  5 Ge 2.64-2.74, 5 Ir 2.68-2.72



No. 7
The following is a PBE calculation of an optimized crystal structure of ZnGeIr2, from Alexandria.

* SG: No. 160

Lattice parameters (Å, degrees): 3.9721 3.9721 5.2857 67.93 67.93 60.00
With the nearest neighbours (Å) after each atom.
Fractional coordinates of all 4 atoms:
Zn (0.4935, 0.4935, 0.5196)  1 Ge 2.58, 6 Ir 2.60-2.69
Ge (0.6738, 0.6738, 0.9787)  6 Ir 2.48-2.57, 1 Zn 2.58
Ir (0.0739, 0.0739, 0.7783)  3 Ge 2.48, 3 Zn 2.60, 1 Ir 2.64
Ir (0.2588, 0.2588, 0.2235)  3 Ge 2.57, 1 Ir 2.64, 3 Zn 2.69



No. 8
The following is a PBE calculation of an optimized crystal structure of ZnGe2Ir2, from Alexandria.

* SG: No. 15
* distance to the lowest polymorph of the same formula: 0 meV/atom

Lattice parameters (Å, degrees): 6.1804 6.1804 4.9574 108.91 108.91 82.25
With the nearest neighbours (Å) after each atom.
Fractional coordinates of all 10 atoms:
Zn (0.1057, 0.8943, 0.2500)  4 Ir 2.60-2.63
Zn (0.8943, 0.1057, 0.7500)  4 Ir 2.60-2.63
Ge (0.8303, 0.6190, 0.6120)  4 Ir 2.48-2.55, 1 Ge 2.72
Ge (0.3810, 0.1697, 0.8880)  4 Ir 2.48-2.55, 1 Ge 2.72
Ge (0.6190, 0.8303, 0.1120)  4 Ir 2.48-2.55, 1 Ge 2.72
Ge (0.1697, 0.3810, 0.3880)  4 Ir 2.48-2.55, 1 Ge 2.72
Ir (0.4256, 0.5744, 0.2500)  4 Ge 2.48-2.55, 1 Zn 2.60, 2 Ir 2.76
Ir (0.7856, 0.2144, 0.2500)  4 Ge 2.51-2.55, 3 Zn 2.60-2.63
Ir (0.2144, 0.7856, 0.7500)  4 Ge 2.51-2.55, 3 Zn 2.60-2.63
Ir (0.5744, 0.4256, 0.7500)  4 Ge 2.48-2.55, 1 Zn 2.60, 2 Ir 2.76



No. 9
The following is a PBE calculation of an optimized crystal structure of ZnGeIr, from Alexandria.

* SG: No. 216

Lattice parameters (Å, degrees): 4.1817 4.1817 4.1817 60.00 60.00 60.00
With the nearest neighbours (Å) after each atom.
Fractional coordinates of all 3 atoms:
Ge (0.5000, 0.5000, 0.5000)  4 Ir 2.56
Ir (0.2500, 0.2500, 0.2500)  4 Zn 2.56, 4 Ge 2.56
Zn (0.0000, 0.0000, 0.0000)  4 Ir 2.56



No. 10
The following is a PBE calculation of an optimized crystal structure of ZnGeIr2, from Alexandria.

* SG: No. 122

Lattice parameters (Å, degrees): 6.9141 6.9141 5.5982 51.86 51.86 90.00
With the nearest neighbours (Å) after each atom.
Fractional coordinates of all 8 atoms:
Ge (0.0000, 0.0000, 0.0000)  4 Ir 2.38
Ge (0.7500, 0.2500, 0.5000)  4 Ir 2.38
Ir (0.6606, 0.1250, 0.2500)  2 Ge 2.38
Ir (0.0894, 0.6250, 0.2500)  2 Ge 2.38
Ir (0.3750, 0.3394, 0.7500)  2 Ge 2.38
Ir (0.8750, 0.9106, 0.7500)  2 Ge 2.38
Zn (0.5000, 0.5000, 0.0000)  4 Ir 2.71, 2 Ge 2.73
Zn (0.2500, 0.7500, 0.5000)  4 Ir 2.71, 2 Ge 2.73



No. 11
The following is a PBE calculation of an optimized crystal structure of ZnGe3Ir, from Alexandria.

* SG: No. 221
* distance to the lowest polymorph of the same formula: 0 meV/atom

Lattice parameters (Å, degrees): 4.8361 4.8361 4.8361 90.00 90.00 90.00
With the nearest neighbours (Å) after each atom.
Fractional coordinates of all 5 atoms:
Ge (0.0000, 0.5000, 0.0000)  2 Ir 2.42
Ge (0.0000, 0.0000, 0.5000)  2 Ir 2.42
Ge (0.5000, 0.0000, 0.0000)  2 Ir 2.42
Ir (0.0000, 0.0000, 0.0000)  6 Ge 2.42
Zn (0.5000, 0.5000, 0.5000)  12 Ge 3.42



No. 12
The following is a PBE calculation of an optimized crystal structure of ZnGeIr2, from Alexandria.

* SG: No. 166

Lattice parameters (Å, degrees): 4.4727 4.4727 5.6433 66.65 66.65 60.00
With the nearest neighbours (Å) after each atom.
Fractional coordinates of all 4 atoms:
Ge (0.5000, 0.5000, 0.5000)  6 Ir 2.58
Ir (0.1594, 0.1594, 0.5219)  1 Zn 2.40, 3 Ge 2.58, 3 Ir 2.59
Ir (0.8406, 0.8406, 0.4781)  1 Zn 2.40, 3 Ge 2.58, 3 Ir 2.59
Zn (0.0000, 0.0000, 0.0000)  2 Ir 2.40



No. 13
The following is a PBE calculation of an optimized crystal structure of Zn2GeIr2, from Alexandria.

* SG: No. 139
* distance to the lowest polymorph of the same formula: 501 meV/atom

Lattice parameters (Å, degrees): 3.7634 3.7634 6.5719 73.36 73.36 90.00
With the nearest neighbours (Å) after each atom.
Fractional coordinates of all 5 atoms:
Ge (0.0000, 0.0000, 0.0000)  8 Zn 2.93
Ir (0.7500, 0.2500, 0.5000)  4 Zn 2.59, 4 Ir 2.66
Ir (0.2500, 0.7500, 0.5000)  4 Zn 2.59, 4 Ir 2.66
Zn (0.3981, 0.3981, 0.2038)  1 Zn 2.45, 4 Ir 2.59
Zn (0.6019, 0.6019, 0.7962)  1 Zn 2.45, 4 Ir 2.59



No. 14
The following is a PBE calculation of an optimized crystal structure of ZnGe3Ir, from Alexandria.

* SG: No. 221
* distance to the lowest polymorph of the same formula: 679 meV/atom

Lattice parameters (Å, degrees): 4.6556 4.6556 4.6556 90.00 90.00 90.00
With the nearest neighbours (Å) after each atom.
Fractional coordinates of all 5 atoms:
Ge (0.0000, 0.5000, 0.0000)  2 Zn 2.33
Ge (0.0000, 0.0000, 0.5000)  2 Zn 2.33
Ge (0.5000, 0.0000, 0.0000)  2 Zn 2.33
Ir (0.5000, 0.5000, 0.5000)  12 Ge 3.29
Zn (0.0000, 0.0000, 0.0000)  6 Ge 2.33



No. 15
The following is a PBE calculation of an optimized crystal structure of Zn2GeIr2, from Alexandria.

* SG: No. 127
* distance to the lowest polymorph of the same formula: 272 meV/atom

Lattice parameters (Å, degrees): 7.3416 7.3416 2.8574 90.00 90.00 90.00
With the nearest neighbours (Å) after each atom.
Fractional coordinates of all 10 atoms:
Ge (0.0000, 0.0000, 0.0000)  2 Ge 2.86, 4 Zn 2.91, 8 Ir 3.07
Ge (0.5000, 0.5000, 0.0000)  2 Ge 2.86, 4 Zn 2.91, 8 Ir 3.07
Ir (0.1742, 0.6742, 0.5000)  6 Zn 2.55-2.63
Ir (0.6742, 0.8258, 0.5000)  6 Zn 2.55-2.63
Ir (0.8258, 0.3258, 0.5000)  6 Zn 2.55-2.63
Ir (0.3258, 0.1742, 0.5000)  6 Zn 2.55-2.63
Zn (0.3771, 0.8771, 0.0000)  6 Ir 2.55-2.63, 1 Zn 2.55
Zn (0.8771, 0.6229, 0.0000)  6 Ir 2.55-2.63, 1 Zn 2.55
Zn (0.6229, 0.1229, 0.0000)  6 Ir 2.55-2.63, 1 Zn 2.55
Zn (0.1229, 0.3771, 0.0000)  6 Ir 2.55-2.63, 1 Zn 2.55



No. 16
The following is a PBE calculation of an optimized crystal structure of Zn5GeIr6, from Alexandria.

* SG: No. 10

Lattice parameters (Å, degrees): 4.2860 6.1029 6.7907 90.00 108.51 90.00
With the nearest neighbours (Å) after each atom.
Fractional coordinates of all 12 atoms:
Zn (0.6667, 0.5000, 0.3338)  8 Ir 2.63-2.68
Zn (0.3275, 0.0000, 0.6547)  8 Ir 2.61-2.67
Zn (0.0000, 0.5000, 0.0000)  8 Ir 2.60-2.66
Zn (0.6725, 0.0000, 0.3453)  8 Ir 2.61-2.67
Zn (0.3333, 0.5000, 0.6662)  8 Ir 2.63-2.68
Ir (0.8373, 0.7512, 0.6745)  1 Ge 2.59, 7 Zn 2.60-2.68
Ir (0.8373, 0.2488, 0.6745)  1 Ge 2.59, 7 Zn 2.60-2.68
Ir (0.5000, 0.2414, 0.0000)  2 Ge 2.60, 6 Zn 2.66-2.67
Ir (0.5000, 0.7586, 0.0000)  2 Ge 2.60, 6 Zn 2.66-2.67
Ir (0.1627, 0.7512, 0.3255)  1 Ge 2.59, 7 Zn 2.60-2.68
Ir (0.1627, 0.2488, 0.3255)  1 Ge 2.59, 7 Zn 2.60-2.68
Ge (0.0000, 0.0000, 0.0000)  8 Ir 2.59-2.60



No. 17
The following is a PBE calculation of an optimized crystal structure of Zn2Ge2Ir, from Alexandria.

* SG: No. 127

Lattice parameters (Å, degrees): 6.4128 6.4128 4.0334 90.00 90.00 90.00
With the nearest neighbours (Å) after each atom.
Fractional coordinates of all 10 atoms:
Ge (0.3619, 0.8619, 0.0000)  2 Ir 2.48, 1 Ge 2.51, 2 Zn 2.63
Ge (0.8619, 0.6381, 0.0000)  2 Ir 2.48, 1 Ge 2.51, 2 Zn 2.63
Ge (0.6381, 0.1381, 0.0000)  2 Ir 2.48, 1 Ge 2.51, 2 Zn 2.63
Ge (0.1381, 0.3619, 0.0000)  2 Ir 2.48, 1 Ge 2.51, 2 Zn 2.63
Ir (0.0000, 0.0000, 0.0000)  4 Ge 2.48
Ir (0.5000, 0.5000, 0.0000)  4 Ge 2.48
Zn (0.1762, 0.6762, 0.5000)  6 Ge 2.63-2.86
Zn (0.6762, 0.8238, 0.5000)  6 Ge 2.63-2.86
Zn (0.8238, 0.3238, 0.5000)  6 Ge 2.63-2.86
Zn (0.3238, 0.1762, 0.5000)  6 Ge 2.63-2.86



No. 18
The following is a PBE calculation of an optimized crystal structure of ZnGe2Ir2, from Alexandria.

* SG: No. 127
* distance to the lowest polymorph of the same formula: 74 meV/atom

Lattice parameters (Å, degrees): 7.3173 7.3173 2.9343 90.00 90.00 90.00
With the nearest neighbours (Å) after each atom.
Fractional coordinates of all 10 atoms:
Ge (0.1494, 0.6494, 0.5000)  6 Ir 2.55-2.63
Ge (0.6494, 0.8506, 0.5000)  6 Ir 2.55-2.63
Ge (0.8506, 0.3506, 0.5000)  6 Ir 2.55-2.63
Ge (0.3506, 0.1494, 0.5000)  6 Ir 2.55-2.63
Ir (0.3514, 0.8514, 0.0000)  6 Ge 2.55-2.63, 2 Zn 2.79
Ir (0.8514, 0.6486, 0.0000)  6 Ge 2.55-2.63, 2 Zn 2.79
Ir (0.6486, 0.1486, 0.0000)  6 Ge 2.55-2.63, 2 Zn 2.79
Ir (0.1486, 0.3514, 0.0000)  6 Ge 2.55-2.63, 2 Zn 2.79
Zn (0.0000, 0.0000, 0.0000)  4 Ir 2.79, 2 Zn 2.93
Zn (0.5000, 0.5000, 0.0000)  4 Ir 2.79, 2 Zn 2.93



No. 19
The following is a PBE calculation of an optimized crystal structure of ZnGeIr, from Alexandria.

* SG: No. 139

Lattice parameters (Å, degrees): 3.0409 3.0409 10.4153 98.39 98.39 90.00
With the nearest neighbours (Å) after each atom.
Fractional coordinates of all 6 atoms:
Zn (0.2880, 0.2880, 0.5760)  4 Zn 2.65, 4 Ir 2.71
Zn (0.7120, 0.7120, 0.4240)  4 Zn 2.65, 4 Ir 2.71
Ir (0.1310, 0.1310, 0.2620)  4 Ge 2.57, 4 Zn 2.71
Ir (0.8690, 0.8690, 0.7380)  4 Ge 2.57, 4 Zn 2.71
Ge (0.5617, 0.5617, 0.1235)  1 Ge 2.52, 4 Ir 2.57
Ge (0.4383, 0.4383, 0.8765)  1 Ge 2.52, 4 Ir 2.57



No. 20
The following is a PBE calculation of an optimized crystal structure of Zn2GeIr2, from Alexandria.

* SG: No. 127
* distance to the lowest polymorph of the same formula: 0 meV/atom

Lattice parameters (Å, degrees): 6.3370 6.3370 3.9513 90.00 90.00 90.00
With the nearest neighbours (Å) after each atom.
Fractional coordinates of all 10 atoms:
Ge (0.0000, 0.0000, 0.0000)  4 Ir 2.41
Ge (0.5000, 0.5000, 0.0000)  4 Ir 2.41
Ir (0.3496, 0.8496, 0.0000)  2 Ge 2.41, 2 Zn 2.66, 1 Ir 2.70
Ir (0.8496, 0.6504, 0.0000)  2 Ge 2.41, 2 Zn 2.66, 1 Ir 2.70
Ir (0.6504, 0.1504, 0.0000)  2 Ge 2.41, 2 Zn 2.66, 1 Ir 2.70
Ir (0.1504, 0.3496, 0.0000)  2 Ge 2.41, 2 Zn 2.66, 1 Ir 2.70
Zn (0.1503, 0.6503, 0.5000)  6 Ir 2.66-2.75, 1 Zn 2.69
Zn (0.6503, 0.8497, 0.5000)  6 Ir 2.66-2.75, 1 Zn 2.69
Zn (0.8497, 0.3497, 0.5000)  6 Ir 2.66-2.75, 1 Zn 2.69
Zn (0.3497, 0.1503, 0.5000)  6 Ir 2.66-2.75, 1 Zn 2.69



Respective uncorrected energy values: -5.36, -6.08, -4.97, -5.59, -5.70, -5.05, -5.89, -5.81, -5.08, -5.67, -4.42, -5.65, -4.62, -3.74, -4.85, -5.54, -4.04, -5.74, -5.06, -5.12 eV per atom.
Respective total moment values: 1.87, 0.00, 0.00, 0.00, 0.00, 0.00, 0.00, 0.00, 0.00, 0.00, 0.00, 0.00, 0.00, 0.00, 0.00, 0.00, 0.00, 0.00, 0.00, 0.00 μB/cell.